This record from the Alexandria database describes a relaxed structure of Co2ReTe. The functional is PBE.

Properties
- Energy relative to the elements, uncorrected: 0.577 eV per atom
- Fermi-level density of states: 0.84 states/eV per atom

Lattice parameters (Å, degrees): 3.8840 3.8840 7.4633 90.00 90.00 90.00
Last column: nearest neighbours and their distance in Å.
Space group I4/mmm (No. 139)
Asymmetric unit:
Co  0.0000  0.5000  0.2500 [4 per cell]  4 Re 2.69, 4 Te 2.69, 4 Co 2.75
Re  0.0000  0.0000  0.0000 [2 per cell]  8 Co 2.69, 4 Te 2.75
Te  0.0000  0.0000  0.5000 [2 per cell]  8 Co 2.69, 4 Re 2.75